one) # MnSeCl2 (PBE, optimized geometry)
# ρ ... 2.8 g/cm³
data_MnSeCl2
_space_group_name_H-M_alt 'P 1'
_space_group_IT_number 1
_cell_length_a 7.512
_cell_length_b 7.512
_cell_length_c 7.512
_cell_angle_alpha 153.43
_cell_angle_beta 139.34
_cell_angle_gamma 49.24
loop_
_space_group_symop_operation_xyz
'x,y,z'
loop_
_atom_site_label
_atom_site_type_symbol
_atom_site_fract_x
_atom_site_fract_y
_atom_site_fract_z
Cl1 Cl 0.354 0.854 0.500
Cl2 Cl 0.071 0.071 0.000
Mn1 Mn 0.474 0.474 0.000
Se1 Se 0.602 0.102 0.500



two) # MnSeCl2 (PBE, optimized geometry)
# ρ ... 3.9 g/cm³
data_MnSeCl2
_space_group_name_H-M_alt 'P 1'
_space_group_IT_number 1
_cell_length_a 4.601
_cell_length_b 5.200
_cell_length_c 4.587
_cell_angle_alpha 66.75
_cell_angle_beta 83.99
_cell_angle_gamma 113.34
loop_
_space_group_symop_operation_xyz
'x,y,z'
loop_
_atom_site_label
_atom_site_type_symbol
_atom_site_fract_x
_atom_site_fract_y
_atom_site_fract_z
Se1 Se 0.500 0.500 0.000
Cl1 Cl 0.500 0.000 0.500
Cl2 Cl 0.000 0.000 0.000
Mn1 Mn 0.000 0.500 0.500



From most stable to least stable, the computed energies give one), two).



one) # MnSiCl (PBE, optimized geometry)
# ρ ... 3.5 g/cm³
data_MnSiCl
_space_group_name_H-M_alt 'P 1'
_space_group_IT_number 1
_cell_length_a 5.906
_cell_length_b 5.906
_cell_length_c 5.906
_cell_angle_alpha 148.63
_cell_angle_beta 148.64
_cell_angle_gamma 44.96
loop_
_space_group_symop_operation_xyz
'x,y,z'
loop_
_atom_site_label
_atom_site_type_symbol
_atom_site_fract_x
_atom_site_fract_y
_atom_site_fract_z
Si1 Si 0.792 0.792 0.000
Cl1 Cl 0.997 0.997 0.000
Mn1 Mn 0.211 0.211 0.000



two) # MnSiCl (PBE, optimized geometry)
# ρ ... 4.2 g/cm³
data_MnSiCl
_space_group_name_H-M_alt 'P 1'
_space_group_IT_number 1
_cell_length_a 4.252
_cell_length_b 4.252
_cell_length_c 2.992
_cell_angle_alpha 90.00
_cell_angle_beta 90.00
_cell_angle_gamma 120.00
loop_
_space_group_symop_operation_xyz
'x,y,z'
loop_
_atom_site_label
_atom_site_type_symbol
_atom_site_fract_x
_atom_site_fract_y
_atom_site_fract_z
Si1 Si 0.667 0.333 0.666
Mn1 Mn 0.333 0.667 0.167
Cl1 Cl 0.000 0.000 0.167



From most stable to least stable, the computed energies give one), two).



one) # MnSiCl (PBE, optimized geometry)
# ρ ... 3.5 g/cm³
data_MnSiCl
_space_group_name_H-M_alt 'P 1'
_space_group_IT_number 1
_cell_length_a 4.286
_cell_length_b 4.286
_cell_length_c 4.286
_cell_angle_alpha 60.00
_cell_angle_beta 60.00
_cell_angle_gamma 60.00
loop_
_space_group_symop_operation_xyz
'x,y,z'
loop_
_atom_site_label
_atom_site_type_symbol
_atom_site_fract_x
_atom_site_fract_y
_atom_site_fract_z
Mn1 Mn 0.750 0.750 0.750
Si1 Si 0.000 0.000 0.000
Cl1 Cl 0.500 0.500 0.500



two) # MnSiCl (PBE, optimized geometry)
# ρ ... 3.2 g/cm³
data_MnSiCl
_space_group_name_H-M_alt 'P 1'
_space_group_IT_number 1
_cell_length_a 7.287
_cell_length_b 7.203
_cell_length_c 2.979
_cell_angle_alpha 79.71
_cell_angle_beta 76.57
_cell_angle_gamma 23.72
loop_
_space_group_symop_operation_xyz
'x,y,z'
loop_
_atom_site_label
_atom_site_type_symbol
_atom_site_fract_x
_atom_site_fract_y
_atom_site_fract_z
Cl1 Cl 0.948 0.948 0.052
Mn1 Mn 0.335 0.335 0.665
Si1 Si 0.717 0.717 0.283



From most stable to least stable, the computed energies give two), one).



one) # MnSiCl (PBE, optimized geometry)
# ρ ... 3.1 g/cm³
data_MnSiCl
_space_group_name_H-M_alt 'P 1'
_space_group_IT_number 1
_cell_length_a 4.481
_cell_length_b 4.481
_cell_length_c 4.481
_cell_angle_alpha 60.00
_cell_angle_beta 60.00
_cell_angle_gamma 60.00
loop_
_space_group_symop_operation_xyz
'x,y,z'
loop_
_atom_site_label
_atom_site_type_symbol
_atom_site_fract_x
_atom_site_fract_y
_atom_site_fract_z
Cl1 Cl 0.000 0.000 0.000
Mn1 Mn 0.500 0.500 0.500
Si1 Si 0.750 0.750 0.750



two) # MnSiCl (PBE, optimized geometry)
# ρ ... 3.1 g/cm³
data_MnSiCl
_space_group_name_H-M_alt 'P 1'
_space_group_IT_number 1
_cell_length_a 3.172
_cell_length_b 3.172
_cell_length_c 7.335
_cell_angle_alpha 90.00
_cell_angle_beta 90.00
_cell_angle_gamma 120.00
loop_
_space_group_symop_operation_xyz
'x,y,z'
loop_
_atom_site_label
_atom_site_type_symbol
_atom_site_fract_x
_atom_site_fract_y
_atom_site_fract_z
Si1 Si 0.333 0.667 0.566
Cl1 Cl 0.000 0.000 0.107
Mn1 Mn 0.667 0.333 0.327



From most stable to least stable, the computed energies give two), one).